[1]
# GaOsBr2

A crystal of GaOsBr2 relaxed with PBEsol (SCAN, Alexandria via LeMat-Bulk).

Properties
electronic total energy	-374.365	eV/cell
crystal system	trigonal
E_form (uncorrected)	0.59	eV/atom

abc: 3.6914 3.6914 26.4362
angles: 90.00 90.00 120.00
Space group R-3m (No. 166, hexagonal axes)
Unique sites:
Ga  0.0000  0.0000  0.0000 x3
Os  0.0000  0.0000  0.5000 x3
Br  0.0000  0.0000  0.1176 x6



[2]
# GaOsSe2Br

A crystal of GaOsSe2Br relaxed with PBEsol (SCAN, Alexandria via LeMat-Bulk).

Properties
electronic total energy	-145.850	eV/cell
crystal system	tetragonal
E_form (uncorrected)	0.40	eV/atom

abc: 4.7436 4.7436 5.4116
angles: 90.00 90.00 90.00
Space group P4/mmm (No. 123)
Unique sites:
Ga  0.0000  0.0000  0.0000 x1
Os  0.5000  0.5000  0.5000 x1
Se  0.0000  0.5000  0.5000 x2
Br  0.5000  0.5000  0.0000 x1



[3]
# Ga2PBr

A crystal of Ga2PBr relaxed with PBEsol (SCAN, Alexandria via LeMat-Bulk).

Properties
electronic total energy	-245.509	eV/cell
crystal system	cubic
E_form (uncorrected)	0.29	eV/atom

abc: 6.7450 6.7450 6.7450
angles: 90.00 90.00 90.00
Space group Fm-3m (No. 225)
Unique sites:
Ga  0.2500  0.2500  0.2500 x8
P  0.0000  0.0000  0.0000 x4
Br  0.0000  0.0000  0.5000 x4